Here is crystalline TlIr2 at its relaxed geometry from the Alexandria database. Energies are from PBE.

Output
E above lowest polymorph   198 meV per atom
Formation enthalpy at 0 K   623 meV per atom

Cell: 3.9763 3.9763 15.4148 Å, 90.00 90.00 90.00°
With the nearest neighbours (Å) after each atom.
Space group I4_1/amd (No. 141, origin choice 2)
Symmetry-distinct sites (fractional):
1 Tl 0.0000 0.2500 0.3750  12 Ir 3.06-3.32
2 Ir 0.0000 0.2500 0.7974  3 Ir 2.39-2.47